Entry 1:
# Er3TmIr8 PBE optimized geometry
data_Er3TmIr8
_chemical_formula_sum 'Er9 Tm3 Ir24'
_cell_length_a 5.3385
_cell_length_b 5.3385
_cell_length_c 26.1252
_cell_angle_alpha 90.00
_cell_angle_beta 90.00
_cell_angle_gamma 120.00
_symmetry_space_group_name_H-M 'R 3 m'
_symmetry_Int_Tables_number 160
_symmetry_space_group_name_Hall 'R 3 -2"'
loop_
_atom_site_label
_atom_site_fract_x
_atom_site_fract_y
_atom_site_fract_z
Er1 0.0000 0.0000 0.0000
Er2 0.0000 0.0000 0.1250
Er3 0.0000 0.0000 0.5002
Tm1 0.0000 0.0000 0.6251
Ir1 0.0000 0.0000 0.3126
Ir2 0.0000 0.0000 0.8126
Ir3 0.9999 0.5000 0.0625
Ir4 0.0000 0.5000 0.5627
# V = 644.8 Å³/cell
# energy of formation = -829 meV/atom
# calculated density = 17.06 Mg/m³
# total moment = 0.0 μB per formula unit



Entry 2:
# Er2TmIr9 PBE optimized geometry
data_Er2TmIr9
_chemical_formula_sum 'Er6 Tm3 Ir27'
_cell_length_a 5.2832
_cell_length_b 5.2832
_cell_length_c 26.3217
_cell_angle_alpha 90.00
_cell_angle_beta 90.00
_cell_angle_gamma 120.00
_symmetry_space_group_name_H-M 'R -3 m'
_symmetry_Int_Tables_number 166
_symmetry_space_group_name_Hall '-R 3 2"'
loop_
_atom_site_label
_atom_site_fract_x
_atom_site_fract_y
_atom_site_fract_z
Er1 0.0000 0.0000 0.1391
Tm1 0.0000 0.0000 0.0000
Ir1 0.0000 0.0000 0.3329
Ir2 0.0000 0.0000 0.5000
Ir3 0.0002 0.5001 0.0824
# V = 636.3 Å³/cell
# energy of formation = -589 meV/atom
# calculated density = 17.49 Mg/m³
# total moment = 0.0 μB per formula unit



Entry 3:
# Er4TmIr2 PBE optimized geometry
data_Er4TmIr2
_chemical_formula_sum 'Er8 Tm2 Ir4'
_cell_length_a 7.803
_cell_length_b 6.236
_cell_length_c 7.810
_cell_angle_alpha 90.00
_cell_angle_beta 112.49
_cell_angle_gamma 90.00
_symmetry_space_group_name_H-M 'P 1 21/m 1'
_symmetry_Int_Tables_number 11
loop_
_symmetry_equiv_pos_as_xyz
'x,y,z'
'-x,-y,-z'
'-x,y+1/2,-z'
'x,-y+1/2,z'
loop_
_atom_site_label
_atom_site_fract_x
_atom_site_fract_y
_atom_site_fract_z
Er1 0.016 0.250 0.380
Er2 0.248 0.750 0.333
Er3 0.416 0.003 0.764
Tm1 0.158 0.250 0.029
Ir1 0.256 0.750 0.984
Ir2 0.375 0.250 0.411
# V = 351.1 Å³/cell
# energy of formation = -575 meV/atom
# calculated density = 11.56 Mg/m³
# total moment = 0.0 μB per formula unit



Entry 4:
# Er2TmIr4 PBE optimized geometry
data_Er2TmIr4
_chemical_formula_sum 'Er4 Tm2 Ir8'
_cell_length_a 6.576
_cell_length_b 6.576
_cell_length_c 6.599
_cell_angle_alpha 90.00
_cell_angle_beta 90.00
_cell_angle_gamma 90.00
_symmetry_space_group_name_H-M 'I 4/m m m'
_symmetry_Int_Tables_number 139
_symmetry_space_group_name_Hall '-I 4 2'
loop_
_atom_site_label
_atom_site_fract_x
_atom_site_fract_y
_atom_site_fract_z
Er1 0.000 0.500 0.000
Tm1 0.000 0.000 0.000
Ir1 0.250 0.250 0.250
# V = 285.3 Å³/cell
# energy of formation = -304 meV/atom
# calculated density = 14.81 Mg/m³
# total moment = 0.0 μB per formula unit